# ZrPtPbO6 | Alexandria via LeMat-Bulk | PBE-GGA | optimized geometry
# DFT total energy (eV per atom): -6.81
# Formation energy from raw total energies (kcal/mol of atoms): -34.0
data_ZrPtPbO6
_space_group_name_H-M_alt 'P -3 1 c'
_space_group_IT_number 163
_space_group_name_Hall '-P 3 2c'
_cell_length_a 5.3381
_cell_length_b 5.3381
_cell_length_c 9.6425
_cell_angle_alpha 90.00
_cell_angle_beta 90.00
_cell_angle_gamma 120.00
loop_
_atom_site_label
_atom_site_fract_x
_atom_site_fract_y
_atom_site_fract_z
Zr1 0.3333 0.6667 0.2500
Pt1 0.3333 0.6667 0.7500
Pb1 0.0000 0.0000 0.0000
O1 0.0108 0.3567 0.6313